Record 1
VASP calculation (PBE) on a relaxed structure of BaCaGa2Ru.

Spin magnetization: 0.00 μB per atom
Formation energy: -0.270 eV/atom
Density of states at the Fermi level: 0.64 states/eV per atom
SG: P4/mmm

Lattice parameters (Å, degrees): 4.987 4.987 5.305 90.00 90.00 90.00
Element x y z (fractional)
Ba  0.000  0.000  0.000
Ca  0.500  0.500  0.000
Ga  0.000  0.500  0.500
Ga  0.500  0.000  0.500
Ru  0.500  0.500  0.500

Record 2
VASP calculation (PBE) on a relaxed structure of Tb3Tm2.

Spin magnetization: 0.00 μB per atom
Formation energy: 0.004 eV/atom
Density of states at the Fermi level: 1.66 states/eV per atom
SG: C2/c

Lattice parameters (Å, degrees): 6.663 6.663 9.124 107.70 107.70 55.76
Element x y z (fractional)
Tb  0.032  0.366  0.650
Tb  0.168  0.832  0.750
Tb  0.366  0.032  0.150
Tb  0.634  0.968  0.850
Tb  0.832  0.168  0.250
Tb  0.968  0.634  0.350
Tm  0.234  0.565  0.050
Tm  0.435  0.766  0.450
Tm  0.565  0.234  0.550
Tm  0.766  0.435  0.950

Record 3
VASP calculation (PBE) on a relaxed structure of Na3Nd3UTe8.

Spin magnetization: 0.13 μB per atom
Density of states at the Fermi level: 0.34 states/eV per atom
SG: R-3m
Uncorrected formation energy: -1173 meV per atom

Lattice parameters (Å, degrees): 9.217 9.217 9.217 58.74 58.74 58.74
Element x y z (fractional)
Na  0.000  0.500  0.500
Na  0.500  0.000  0.500
Na  0.500  0.500  0.000
Nd  0.000  0.000  0.500
Nd  0.000  0.500  0.000
Nd  0.500  0.000  0.000
U  0.500  0.500  0.500
Te  0.247  0.247  0.247
Te  0.253  0.740  0.740
Te  0.260  0.260  0.747
Te  0.260  0.747  0.260
Te  0.740  0.253  0.740
Te  0.740  0.740  0.253
Te  0.747  0.260  0.260
Te  0.753  0.753  0.753

Record 4
VASP calculation (PBE) on a relaxed structure of Cs2BiPPd.

Spin magnetization: 0.00 μB per atom
Formation energy: 0.362 eV/atom
Density of states at the Fermi level: 0.71 states/eV per atom
SG: P4/mmm

Lattice parameters (Å, degrees): 6.906 6.906 5.236 90.00 90.00 90.00
Element x y z (fractional)
Cs  0.000  0.500  0.000
Cs  0.500  0.000  0.000
Bi  0.000  0.000  0.500
P  0.000  0.000  0.000
Pd  0.500  0.500  0.500

Record 5
VASP calculation (PBE) on a relaxed structure of Al2RhW.

Spin magnetization: 0.00 μB per atom
Formation energy: -0.268 eV/atom
Density of states at the Fermi level: 0.68 states/eV per atom
SG: P2/m

Lattice parameters (Å, degrees): 2.784 4.075 5.325 90.00 97.80 90.00
Element x y z (fractional)
Al  0.159  0.000  0.254
Al  0.841  0.000  0.746
Rh  0.000  0.500  0.500
W  0.500  0.500  0.000